Here is crystalline SrCa2Tc at its relaxed geometry from Alexandria via LeMat-Bulk. Energies are from GGA-PBE.

```
SrCa2Tc
1.0
-3.915 3.915 5.653
3.915 -3.915 5.653
3.915 3.915 -5.653
Sr Ca Tc
2 4 2
Cartesian
3.915 1.958 1.413
0.000 1.958 4.240
0.000 0.000 0.000
1.958 1.958 -2.827
1.958 -1.958 2.827
0.000 3.915 0.000
3.915 -1.958 4.240
0.000 5.873 1.413
```

## Properties
The energy of formation comes out at 1018 meV per atom. The calculation puts the total magnetization at 0.0 Bohr magnetons per cell. As for the electronic total energy: -23.96 eV per cell. As for the symmetry: I4_1/amd (141).